# PBE MnSi2Ru, relaxed
data_MnSi2Ru
_chemical_formula_sum 'Mn1 Si2 Ru1'
_cell_length_a 4.148
_cell_length_b 2.791
_cell_length_c 4.792
_cell_angle_alpha 90.00
_cell_angle_beta 112.88
_cell_angle_gamma 90.00
_symmetry_space_group_name_H-M 'P 1'
_symmetry_Int_Tables_number 1
_symmetry_space_group_name_Hall 'P 1'
loop_
_atom_site_label
_atom_site_fract_x
_atom_site_fract_y
_atom_site_fract_z
_atom_site_occupancy
Mn1 0.000 0.000 0.000 1
Si1 0.500 0.000 0.500 1
Si2 0.500 0.500 0.000 1
Ru1 0.000 0.500 0.500 1
# Fermi-level density of states = 2.96 states/eV/f.u.
# energy relative to the elements, uncorrected = -285 meV per atom